This record from the Alexandria database describes crystalline Al3GaOs at its relaxed geometry. The functional is PBE.

formation energy from the elements: 0.055 eV per atom
ΔE to the lowest computed polymorph: 0 meV per atom
size of the total moment: 0.000 μB per formula unit
calculated total energy: -5.04 eV/atom

Unit cell a=4.7824 b=4.7824 c=4.7824 alpha=90.00 beta=90.00 gamma=90.00
Space group Pm-3m (No. 221)
Symmetry-distinct sites (fractional):
Al (0.0000, 0.0000, 0.5000)
Ga (0.5000, 0.5000, 0.5000)
Os (0.0000, 0.0000, 0.0000)


This record from the Alexandria database describes crystalline LaTb4Pm2Sm at its relaxed geometry. The functional is PBE.

formation energy from the elements: 0.016 eV per atom
size of the total moment: 0.000 μB per formula unit
calculated total energy: -4.69 eV/atom

Unit cell a=6.2606 b=3.6289 c=11.9460 alpha=90.00 beta=100.31 gamma=90.00
Space group P2/m (No. 10)
Symmetry-distinct sites (fractional):
La (0.0000, 0.0000, 0.0000)
Tb (0.2500, 0.0000, 0.7486)
Tb (0.2503, 0.5000, 0.2520)
Pm (0.5000, 0.0000, 0.5000)
Pm (0.5000, 0.5000, 0.0000)
Sm (0.0000, 0.5000, 0.5000)


This record from the Alexandria database describes crystalline Al2SiSe at its relaxed geometry. The functional is PBE.

E_form (uncorrected): 80 meV per atom
ΔE to the lowest computed polymorph: 379 meV per atom
size of the total moment: 0.000 μB per formula unit
calculated total energy: -4.02 eV/atom

Unit cell a=7.6264 b=7.4407 c=2.7371 alpha=90.00 beta=100.64 gamma=90.00
Space group C2/m (No. 12)
Symmetry-distinct sites (fractional):
Al (0.2500, 0.2500, 0.0000)
Si (0.0000, 0.0000, 0.0000)
Se (0.0000, 0.5000, 0.0000)